Here is an optimized crystal structure of HgMoAs2 from the Alexandria database. Energies are from PBEsol.

```
HgMoAs2
1.0
3.317 0.000 0.000
0.000 4.385 0.000
0.000 0.000 4.855
As Hg Mo
2 1 1
direct
0.500 0.000 0.500
0.000 0.000 0.000
0.500 0.500 0.000
0.000 0.500 0.500
```

Calculated values
Magnetization ... 0.00 μB per formula unit
DFT formation energy ... 56.6 kJ/mol of atoms
Calculated total energy ... -5.05 eV/atom